CaPtO: optimized geometry, PBE-GGA.

POSCAR file:
```
CaPtO
1.0
-0.0202 3.3420 -3.3262
4.4384 -3.0535 -6.5164
-3.2337 0.9814 -0.8092
Ca O Pt
2 2 2
Cartesian
1.5315 1.3065 -6.9801
0.6947 1.3073 -3.6364
0.5715 -0.3888 -5.2004
-1.5589 0.6420 -2.8988
-0.1565 0.6367 -1.0483
2.4029 -1.3649 -6.2418
```

Summary:
crystal system = monoclinic
formation energy without anion corrections = -1.477 eV per atom
calculated volume = 16.77 Å³/atom
total moment = 0.00 μB/f.u.